Entry from Alexandria: a geometry-optimized ZnCuMoIr structure (GGA-PBE).

a = 6.1109 Å, b = 6.1109 Å, c = 6.1109 Å
α = 90.00°, β = 90.00°, γ = 90.00°
Closest atoms and distances in Å follow each position.
Space group F-43m (No. 216)
Inequivalent atoms, fractional coordinates:
Zn (0.0000, 0.0000, 0.0000) [4 per cell]  4 Cu 2.65, 4 Ir 2.65
Cu (0.2500, 0.2500, 0.2500) [4 per cell]  4 Zn 2.65, 4 Mo 2.65
Mo (0.0000, 0.0000, 0.5000) [4 per cell]  4 Cu 2.65, 4 Ir 2.65
Ir (0.2500, 0.2500, 0.7500) [4 per cell]  4 Mo 2.65, 4 Zn 2.65

Calculated values
**Uncorrected energy**: -6.2776 eV per atom
**ρ**: 12.141 g/cm3
**Energy relative to the elements**: -0.01 eV/atom
**N(E_F)**: 0.12 states/eV per atom